Entry from Alexandria via LeMat-Bulk: crystalline TmPa2Rh5 at its relaxed geometry (PBE).

```
TmPa2Rh5
1.0
4.328 0.000 0.000
0.000 5.873 0.000
0.000 0.000 11.605
Rh Tm Pa
10 2 4
direct
0.000 0.589 0.250 Rh
0.500 0.197 0.614 Rh
0.000 0.911 0.750 Rh
0.500 0.303 0.114 Rh
0.000 0.089 0.250 Rh
0.000 0.500 0.500 Rh
0.000 0.411 0.750 Rh
0.500 0.697 0.886 Rh
0.000 0.000 0.000 Rh
0.500 0.803 0.386 Rh
0.000 0.000 0.500 Tm
0.000 0.500 0.000 Tm
0.500 0.842 0.147 Pa
0.500 0.342 0.353 Pa
0.500 0.658 0.647 Pa
0.500 0.158 0.853 Pa
```

E_form: -0.8488 eV per atom

Entry from Alexandria via LeMat-Bulk: crystalline Tm4PaRh5 at its relaxed geometry (PBE).

```
Tm4PaRh5
1.0
-0.379 2.224 2.516
2.292 -1.679 1.830
12.525 9.755 -6.737
Rh Tm Pa
5 4 1
direct
0.500 0.500 0.098 Rh
0.500 0.500 0.302 Rh
0.500 0.500 0.698 Rh
0.500 0.500 0.500 Rh
0.500 0.500 0.902 Rh
0.000 0.000 0.599 Tm
0.000 0.000 0.795 Tm
0.000 0.000 0.401 Tm
0.000 0.000 0.205 Tm
0.000 0.000 0.000 Pa
```

E_form: -0.8920 eV per atom

Entry from Alexandria via LeMat-Bulk: crystalline Tm2PaRh9 at its relaxed geometry (PBE).

```
Tm2PaRh9
1.0
-2.458 3.149 0.597
-3.153 -2.510 0.264
1.718 -0.909 11.877
Rh Tm Pa
9 2 1
direct
0.000 0.500 0.500 Rh
0.500 0.500 0.665 Rh
0.500 0.000 0.166 Rh
0.500 0.500 0.335 Rh
0.000 0.500 0.166 Rh
0.500 0.500 0.000 Rh
0.500 0.000 0.834 Rh
0.000 0.500 0.834 Rh
0.500 0.000 0.500 Rh
0.000 0.000 0.335 Tm
0.000 0.000 0.665 Tm
0.000 0.000 0.000 Pa
```

E_form: -0.6901 eV per atom

Entry from Alexandria via LeMat-Bulk: crystalline Tm2PaRh3 at its relaxed geometry (PBE).

```
Tm2PaRh3
1.0
-1.767 0.420 -4.470
3.526 -3.164 0.913
-4.064 -4.179 1.214
Pa Rh Tm
1 3 2
direct
0.000 0.000 0.000 Pa
0.333 0.667 0.135 Rh
0.667 0.333 0.865 Rh
0.000 0.000 0.500 Rh
0.667 0.333 0.346 Tm
0.333 0.667 0.654 Tm
```

E_form: -0.8431 eV per atom

Entry from Alexandria via LeMat-Bulk: crystalline TmPaRh2 at its relaxed geometry (PBE).

```
TmPaRh2
1.0
4.008 0.000 0.000
0.000 5.610 -1.844
0.000 -0.193 7.575
Rh Pa Tm
4 2 2
direct
0.250 0.821 0.227 Rh
0.250 0.792 0.685 Rh
0.750 0.179 0.773 Rh
0.750 0.208 0.315 Rh
0.750 0.718 0.427 Pa
0.250 0.282 0.573 Pa
0.750 0.723 0.937 Tm
0.250 0.277 0.063 Tm
```

ΔE to the lowest computed polymorph: 0 meV/atom
E_form: -0.8934 eV per atom

Entry from Alexandria via LeMat-Bulk: crystalline TmPaRh at its relaxed geometry (PBE).

```
TmPaRh
1.0
-1.630 -2.464 1.947
3.117 -1.003 1.341
-1.332 5.331 2.417
Rh Pa Tm
1 1 1
direct
0.687 0.687 0.375 Rh
0.305 0.305 0.610 Pa
0.007 0.007 0.015 Tm
```

ΔE to the lowest computed polymorph: 0 meV/atom
E_form: -0.4657 eV per atom